Record 1
First-principles (GGA-PBE) data for a geometry-optimized In3GaPd structure, as listed in Alexandria via LeMat-Bulk.

Calculated values
Energy relative to the lowest polymorph listed for this composition: 0 meV per atom
Crystal system: monoclinic
Space group: C2/m (12)
ρ: 7.376 g cm⁻³
Energy of formation: -0.9 eV/f.u.

```
In3GaPd
1.0
6.8702 0.2632 -0.4845
-1.6265 6.6801 0.4845
-3.2760 -2.9776 5.1348
In Ga Pd
6 2 2
Cartesian
4.9252 -0.4137 0.7525
0.1189 2.0560 1.2370
1.8488 1.9097 3.8978
3.7750 2.6008 0.8891
-2.9575 4.3793 4.3823
-1.8073 1.3649 4.2457
2.2295 -1.6837 3.6403
-0.2617 5.6494 1.4945
1.7647 4.1190 2.0400
0.2030 -0.1533 3.0948
```


Record 2
First-principles (GGA-PBE) data for a geometry-optimized In2Ga2Pd5 structure, as listed in Alexandria via LeMat-Bulk.

Calculated values
Crystal system: orthorhombic
Space group: Ima2 (46)
ρ: 9.386 g cm⁻³
Energy of formation: -3.8 eV/f.u.

```
In2Ga2Pd5
1.0
-6.6849 0.6761 -1.4679
1.2061 -0.4534 -5.7016
1.8475 -7.9809 4.0218
In Ga Pd
4 4 10
Cartesian
0.0512 -0.0193 -0.2423
-2.6882 0.0921 -3.8270
-0.1461 -3.9695 0.2045
-3.4529 -3.8007 -3.5048
0.3379 -1.4901 -3.2107
-3.8065 -6.3292 -0.7062
-3.1987 -0.9667 -1.0040
-0.2699 -6.8526 -2.9128
1.1256 -6.2520 -0.8939
-4.1011 -1.7527 -5.3537
0.9142 -6.0649 2.0429
-5.0959 -1.4864 -2.5890
-1.2077 -2.6771 -4.6896
-1.7592 -5.3307 -1.5989
-1.4370 -2.4882 -1.7568
-2.7360 -5.0663 1.1698
0.5140 -4.2143 -2.8557
-4.0233 -3.5897 -0.8688
```


Record 3
First-principles (GGA-PBE) data for a geometry-optimized InGa2Pd structure, as listed in Alexandria via LeMat-Bulk.

Calculated values
Crystal system: tetragonal
Space group: I-42d (122)
ρ: 7.186 g cm⁻³
Energy of formation: -0.6 eV/f.u.

```
InGa2Pd
1.0
7.8560 0.0000 0.0000
0.0000 7.8560 0.0000
3.9280 3.9280 2.7007
Ga Pd In
4 2 2
Cartesian
5.4670 1.9640 0.6752
2.3890 5.8920 0.6752
5.8920 6.3170 2.0256
9.8200 9.3950 2.0256
3.9280 3.9280 0.0000
3.9280 7.8560 1.3504
0.0000 0.0000 0.0000
7.8560 3.9280 1.3504
```


Record 4
First-principles (GGA-PBE) data for a geometry-optimized In3GaPd6 structure, as listed in Alexandria via LeMat-Bulk.

Calculated values
Energy relative to the lowest polymorph listed for this composition: 136 meV per atom
Crystal system: orthorhombic
Space group: Cmc2_1 (36)
ρ: 9.684 g cm⁻³
Energy of formation: -3.7 eV/f.u.

```
In3GaPd6
1.0
-2.1553 -3.6238 3.0344
5.1119 2.2112 6.2716
-6.3943 5.1751 1.6387
In Ga Pd
6 2 12
Cartesian
-1.3690 3.6095 8.3388
-2.0151 5.8654 6.1276
-2.1754 3.4220 3.9596
-0.8720 0.9968 6.4355
-1.2595 1.5134 1.4669
-0.6135 -0.7425 3.6781
-4.5296 4.4810 2.5892
1.9490 0.7226 7.1489
-0.1398 3.8886 5.8196
-3.1739 2.5807 6.5490
-4.2759 5.0194 5.0466
0.4046 1.7242 8.8823
-7.0291 4.0394 2.5963
-5.1935 2.4308 4.3959
2.4771 2.5444 5.5333
3.3290 -0.7183 8.7180
-3.7773 2.1475 1.9710
0.9032 -1.1477 5.8067
0.1960 1.9547 3.7485
-2.8382 0.6468 4.4779
```


Record 5
First-principles (GGA-PBE) data for a geometry-optimized InGaPd structure, as listed in Alexandria via LeMat-Bulk.

Calculated values
Crystal system: tetragonal
Space group: I4mm (107)
ρ: 8.872 g cm⁻³
Energy of formation: -0.9 eV/f.u.

```
InGaPd
1.0
3.4992 0.0000 0.0000
0.0000 3.4992 0.0000
-1.7496 -1.7496 4.4478
Pd Ga In
1 1 1
Cartesian
1.7496 1.7496 4.1203
1.7496 1.7496 0.9011
0.0000 0.0000 2.5398
```


Record 6
First-principles (GGA-PBE) data for a geometry-optimized InGaPd4 structure, as listed in Alexandria via LeMat-Bulk.

Calculated values
Energy relative to the lowest polymorph listed for this composition: 68 meV per atom
Crystal system: monoclinic
Space group: P2_1/c (14)
ρ: 10.515 g cm⁻³
Energy of formation: -2.7 eV/f.u.

```
InGaPd4
1.0
-2.9874 1.0913 -3.6126
-6.2891 -4.4648 3.8520
-2.0538 4.0937 1.3918
In Ga Pd
2 2 8
Cartesian
0.0000 0.0000 0.0000
-4.6382 -1.6868 0.1197
-2.5206 2.5925 -1.1104
-4.1714 -0.1855 2.6219
-7.1453 -1.8100 -1.0174
-4.5543 3.8740 0.1537
-4.7025 1.0753 0.0683
-9.2138 -0.5851 0.4257
-4.1849 2.5302 2.6486
-6.7759 -3.1538 1.4775
-6.6277 -0.3551 1.5629
-2.1164 1.3052 1.2055
```


Number 1: magnetization 0.00 μB/f.u.. Number 2: magnetization 0.00 μB/f.u.. Number 3: magnetization 0.00 μB/f.u.. Number 4: magnetization 0.00 μB/f.u.. Number 5: magnetization 0.00 μB/f.u.. Number 6: magnetization 0.00 μB/f.u..